Below is a relaxed structure of NiP2OsO, with properties calculated at the GGA+U level.

## Properties
The value obtained for the calculated volume is 13.296 Å³/atom. The value obtained for the density of states at the Fermi level is 4.48 states/eV/f.u. Its total energy is -5.088 eV/atom. The total magnetization is 0.001 μB/atom. As for the space group: No. 123.

Unit cell a=4.4860 b=4.4860 c=3.3035 alpha=90.00 beta=90.00 gamma=90.00
Element x y z (fractional)
Ni 0.0000 0.0000 0.0000
Os 0.5000 0.5000 0.5000
O 0.0000 0.0000 0.5000
P 0.0000 0.5000 0.0000
P 0.5000 0.0000 0.0000